[1]
Here is a geometry-optimized Th2CoHg structure from the Alexandria database. Energies are from PBE.

Output
D(E_F): 0.848 states/eV per atom
E_tot: -5.84 eV per atom
formation enthalpy at 0 K: -0.274 eV per atom
energy above the lowest structure with this stoichiometry: 0.000 eV per formula unit
size of the total moment: 0.00 μB per formula unit

a b c (Å): 3.943 3.943 8.356
angles (deg): 89.67 103.81 120.41
Fractional positions:
Co: 0.000 0.000 0.000
Th: 0.540 0.270 0.810
Hg: 0.000 0.500 0.500
Th: 0.460 0.730 0.190

---

[2]
Here is a geometry-optimized Th4CoHg structure from the Alexandria database. Energies are from PBE.

Output
D(E_F): 1.263 states/eV per atom
E_tot: -6.28 eV per atom
formation enthalpy at 0 K: -0.103 eV per atom
size of the total moment: 0.00 μB per formula unit

a b c (Å): 6.001 8.313 8.200
angles (deg): 113.32 102.25 107.65
Fractional positions:
Th: 0.223 0.297 0.378
Hg: 0.636 0.386 0.772
Th: 0.960 0.806 0.150
Th: 0.655 0.081 0.378
Co: 0.268 0.018 0.037
Co: 0.732 0.982 0.963
Th: 0.777 0.703 0.622
Th: 0.690 0.343 0.150
Th: 0.040 0.194 0.850
Th: 0.345 0.919 0.622
Hg: 0.364 0.614 0.228
Th: 0.310 0.657 0.850